Density functional theory data (PBEsol) for crystalline K2RhCl at its relaxed geometry.

Results
The calculation puts the offset from the most stable computed form at 1.010 eV/f.u. Its space group is I4/mmm (139).

Lattice parameters (Å, degrees): 4.6610 5.5082 4.6610 64.97 90.00 115.03
Site moments in Bohr magnetons follow the coordinates.
Sites, in units of the cell vectors:
K1 0.7500 0.5000 0.7500  -0.01
K2 0.2500 0.5000 0.2500  -0.01
Cl1 0.0000 0.0000 0.0000  0.02
Rh1 0.5000 0.0000 0.5000  0.47

---

Density functional theory data (PBEsol) for crystalline NbHgPCl2 at its relaxed geometry.

Results
Its space group is P4/mmm (123). As for the total DFT energy (no corrections): -3.25 eV/atom.

Lattice parameters (Å, degrees): 5.0356 4.9496 4.9496 90.00 90.00 90.00
Site moments in Bohr magnetons follow the coordinates.
Sites, in units of the cell vectors:
Nb1 0.5000 0.5000 0.5000  2.52
Cl1 0.0000 0.0000 0.5000  -0.05
Cl2 0.0000 0.5000 0.0000  -0.05
Hg1 0.0000 0.0000 0.0000  -0.01
P1 0.5000 0.0000 0.0000  -0.30

---

Density functional theory data (PBEsol) for crystalline Ni2Os at its relaxed geometry.

Results
Its space group is Cmcm (63). The value obtained for the energy of formation is 0.0915 eV per atom.

Lattice parameters (Å, degrees): 3.5796 3.6067 5.6838 71.50 90.00 90.00
Sites, in units of the cell vectors:
Os1 0.7500 0.4164 0.1672
Os2 0.2500 0.5836 0.8328
Ni1 0.2500 0.2464 0.5072
Ni2 0.2500 0.9167 0.1665
Ni3 0.7500 0.0833 0.8335
Ni4 0.7500 0.7536 0.4928

---

Density functional theory data (PBEsol) for crystalline CaReSi2 at its relaxed geometry.

Results
Its space group is Amm2 (38). As for the total DFT energy (no corrections): -6.79 eV/atom.

Lattice parameters (Å, degrees): 3.2205 4.0171 5.3088 90.00 107.66 90.00
Sites, in units of the cell vectors:
Si1 0.6972 0.5000 0.3944
Si2 0.8283 0.0000 0.6567
Re1 0.3845 0.5000 0.7690
Ca1 0.0919 0.0000 0.1839

---

Density functional theory data (PBEsol) for crystalline RbNa2LiOs at its relaxed geometry.

Results
Its space group is P4/mmm (123). The value obtained for the energy of formation is 1.3273 eV per atom.

Lattice parameters (Å, degrees): 5.7340 5.7340 6.1224 90.00 90.00 90.00
Site moments in Bohr magnetons follow the coordinates.
Sites, in units of the cell vectors:
Os1 0.0000 0.0000 0.0000  1.75
Li1 0.5000 0.5000 0.5000  0.00
Na1 0.5000 0.0000 0.0000  0.00
Na2 0.0000 0.5000 0.0000  0.00
Rb1 0.0000 0.0000 0.5000  0.03

---

Density functional theory data (PBEsol) for crystalline Hg2SbRh at its relaxed geometry.

Results
Its space group is R-3m (166). As for the total DFT energy (no corrections): -3.19 eV/atom.

Lattice parameters (Å, degrees): 3.2040 3.2040 9.4802 80.27 80.27 60.00
Sites, in units of the cell vectors:
Rh1 0.5000 0.5000 0.5000
Sb1 0.0000 0.0000 0.0000
Hg1 0.7604 0.7604 0.7187
Hg2 0.2396 0.2396 0.2813

---

Density functional theory data (PBEsol) for crystalline Ta2TlCd at its relaxed geometry.

Results
Its space group is Cm (8). The value obtained for the energy of formation is 0.4310 eV per atom.

Lattice parameters (Å, degrees): 2.9532 5.2596 5.3130 100.27 106.14 90.00
Sites, in units of the cell vectors:
Tl1 0.5060 0.4866 0.0120
Cd1 0.7435 0.2594 0.4870
Ta1 0.2625 0.7823 0.5249
Ta2 0.9880 0.9717 0.9761

---

Density functional theory data (PBEsol) for crystalline Rb4MnMo3O12 at its relaxed geometry.

Results
Its space group is P31c (159). As for the total DFT energy (no corrections): -7.64 eV/atom.

Lattice parameters (Å, degrees): 6.0402 6.0402 23.6619 90.00 90.00 120.00
Site moments in Bohr magnetons follow the coordinates.
Sites, in units of the cell vectors:
O1 0.8033 0.6852 0.4338  0.01
O2 0.8305 0.1452 0.0650  0.01
O3 0.6861 0.6236 0.7518  0.03
O4 0.9374 0.3139 0.7518  0.03
O5 0.3147 0.1695 0.0650  0.01
O6 0.0000 0.0000 0.6666  0.02
O7 0.1695 0.3147 0.5650  0.01
O8 0.3333 0.6667 0.1545  0.02
O9 0.3764 0.0626 0.7518  0.03
O10 0.6667 0.3333 0.6545  0.02
O11 0.3148 0.1181 0.4338  0.01
O12 0.0626 0.3764 0.2518  0.03
O13 0.0000 0.0000 0.8340  0.01
O14 0.1967 0.8819 0.9338  0.01
O15 0.8819 0.1967 0.4338  0.01
O16 0.3139 0.9374 0.2518  0.03
O17 0.1181 0.3148 0.9338  0.01
O18 0.1452 0.8305 0.5650  0.01
O19 0.6853 0.8548 0.5650  0.01
O20 0.6236 0.6861 0.2518  0.03
O21 0.8548 0.6853 0.0650  0.01
O22 0.6852 0.8033 0.9338  0.01
O23 0.0000 0.0000 0.3340  0.01
O24 0.0000 0.0000 0.1666  0.02
Rb1 0.3333 0.6667 0.6542  0.00
Rb2 0.6667 0.3333 0.5303  0.00
Rb3 0.6667 0.3333 0.9745  0.00
Rb4 0.3333 0.6667 0.8405  0.00
Rb5 0.6667 0.3333 0.3405  0.00
Rb6 0.6667 0.3333 0.1542  0.00
Rb7 0.3333 0.6667 0.0303  0.00
Rb8 0.3333 0.6667 0.4745  0.00
Mo1 0.6667 0.3333 0.7277  0.14
Mo2 0.3333 0.6667 0.2277  0.14
Mo3 0.0000 0.0000 0.9099  0.04
Mo4 0.0000 0.0000 0.4099  0.04
Mo5 0.0000 0.0000 0.0904  0.04
Mo6 0.0000 0.0000 0.5904  0.04
Mn1 0.0000 0.0000 0.2503  4.28
Mn2 0.0000 0.0000 0.7503  4.28

---

Density functional theory data (PBEsol) for crystalline K2TlAg at its relaxed geometry.

Results
The calculation puts the offset from the most stable computed form at 0.065 eV/f.u. Its space group is Amm2 (38). The value obtained for the energy of formation is 0.0339 eV per atom.

Lattice parameters (Å, degrees): 5.0045 4.7810 6.6931 90.00 111.95 90.00
Sites, in units of the cell vectors:
Tl1 0.8053 0.0000 0.6107
Ag1 0.6905 0.5000 0.3810
K1 0.3974 0.5000 0.7948
K2 0.0999 0.0000 0.1998

---

Density functional theory data (PBEsol) for crystalline Y4Pb5 at its relaxed geometry.

Results
Its space group is P6_3/mcm (193). The value obtained for the energy of formation is -0.4966 eV per atom.

Lattice parameters (Å, degrees): 6.4297 9.3910 9.3910 120.00 90.00 90.00
Sites, in units of the cell vectors:
Pb1 0.0000 0.3333 0.6667
Pb2 0.7500 0.0000 0.7111
Pb3 0.7500 0.7111 0.0000
Pb4 0.7500 0.2889 0.2889
Pb5 0.5000 0.6667 0.3333
Pb6 0.2500 0.7111 0.7111
Pb7 0.5000 0.3333 0.6667
Pb8 0.0000 0.6667 0.3333
Pb9 0.2500 0.0000 0.2889
Pb10 0.2500 0.2889 0.0000
Y1 0.7500 0.3810 0.0000
Y2 0.2500 0.6190 0.0000
Y3 0.0000 0.0000 0.0000
Y4 0.7500 0.6190 0.6190
Y5 0.7500 0.0000 0.3810
Y6 0.5000 0.0000 0.0000
Y7 0.2500 0.3810 0.3810
Y8 0.2500 0.0000 0.6190

---

Density functional theory data (PBEsol) for crystalline Na4Ni7P6O24 at its relaxed geometry.

Results
Its space group is Cm (8). As for the total DFT energy (no corrections): -6.80 eV/atom.

Lattice parameters (Å, degrees): 6.3979 8.7030 8.7030 105.52 98.96 98.96
Site moments in Bohr magnetons follow the coordinates.
Sites, in units of the cell vectors:
O1 0.7509 0.2853 0.7202  0.12
O2 0.8570 0.6030 0.0147  0.10
O3 0.1544 0.2025 0.2025  0.06
O4 0.1111 0.6020 0.7838  0.10
O5 0.4869 0.6608 0.9999  0.06
O6 0.1375 0.9891 0.3945  0.10
O7 0.5114 0.0007 0.3387  0.06
O8 0.2477 0.2833 0.7213  0.12
O9 0.8909 0.4005 0.2217  0.11
O10 0.1111 0.7838 0.6020  0.10
O11 0.1375 0.3945 0.9891  0.10
O12 0.8570 0.0147 0.6030  0.10
O13 0.7966 0.5539 0.5539  0.11
O14 0.5114 0.3387 0.0007  0.06
O15 0.8909 0.2217 0.4005  0.11
O16 0.8479 0.8004 0.8004  0.07
O17 0.7897 0.1133 0.9012  0.11
O18 0.2068 0.0962 0.8863  0.11
O19 0.2477 0.7213 0.2833  0.12
O20 0.7509 0.7202 0.2853  0.12
O21 0.4869 0.9999 0.6608  0.06
O22 0.2068 0.8863 0.0962  0.11
O23 0.2017 0.4541 0.4541  0.12
O24 0.7897 0.9012 0.1133  0.11
Na1 0.5377 0.4889 0.7360  0.00
Na2 0.5377 0.7360 0.4889  0.00
Na3 0.4734 0.9260 0.9260  0.00
Na4 0.5424 0.2782 0.2782  0.00
Ni1 0.8193 0.3582 0.9811  1.57
Ni2 0.1800 0.0258 0.6384  1.57
Ni3 0.1800 0.6384 0.0258  1.57
Ni4 0.8193 0.9811 0.3582  1.57
Ni5 0.0017 0.6254 0.3772  1.54
Ni6 0.9982 0.0003 0.0003  1.55
Ni7 0.0017 0.3772 0.6254  1.54
P1 0.9653 0.6919 0.6919  0.01
P2 0.2790 0.9059 0.2831  0.01
P3 0.7177 0.7156 0.1005  0.01
P4 0.2790 0.2831 0.9059  0.01
P5 0.0434 0.3134 0.3134  0.01
P6 0.7177 0.1005 0.7156  0.01

---

Density functional theory data (PBEsol) for crystalline SrFeP2O at its relaxed geometry.

Results
Its space group is P4/mmm (123). As for the total DFT energy (no corrections): -6.03 eV/atom.

Lattice parameters (Å, degrees): 3.6430 4.7735 4.7735 90.00 90.00 90.00
Site moments in Bohr magnetons follow the coordinates.
Sites, in units of the cell vectors:
P1 0.0000 0.5000 0.0000  -0.02
P2 0.0000 0.0000 0.5000  -0.02
Sr1 0.5000 0.5000 0.5000  0.03
Fe1 0.0000 0.0000 0.0000  2.32
O1 0.5000 0.0000 0.0000  0.20

---

Density functional theory data (PBEsol) for crystalline BaSr2 at its relaxed geometry.

Results
The calculation puts the offset from the most stable computed form at 0.133 eV/f.u. Its space group is P6/mmm (191). The value obtained for the energy of formation is 0.0478 eV per atom.

Lattice parameters (Å, degrees): 4.0714 6.8054 6.8054 120.00 90.00 90.00
Sites, in units of the cell vectors:
Ba1 0.5000 0.0000 0.0000
Sr1 0.0000 0.6667 0.3333
Sr2 0.0000 0.3333 0.6667

---

Density functional theory data (PBEsol) for crystalline K5CuCO5 at its relaxed geometry.

Results
Its space group is Aem2 (39). As for the total DFT energy (no corrections): -5.23 eV/atom.

Lattice parameters (Å, degrees): 7.3830 7.3830 8.8125 90.00 90.00 91.66
Sites, in units of the cell vectors:
O1 0.2716 0.2389 0.7985
O2 0.7389 0.7716 0.7985
O3 0.2389 0.2716 0.2015
O4 0.8382 0.1257 0.4332
O5 0.6257 0.3382 0.4332
O6 0.7716 0.7389 0.2015
O7 0.3604 0.8604 0.4047
O8 0.3382 0.6257 0.5668
O9 0.1257 0.8382 0.5668
O10 0.8604 0.3604 0.5953
Cu1 0.2560 0.2560 0.0000
Cu2 0.7560 0.7560 0.0000
K1 0.5557 0.4576 0.7495
K2 0.0562 0.5562 0.7683
K3 0.4290 0.9290 0.7875
K4 0.9576 0.0557 0.7495
K5 0.4576 0.5557 0.2505
K6 0.2480 0.2480 0.5000
K7 0.9290 0.4290 0.2125
K8 0.0557 0.9576 0.2505
K9 0.5562 0.0562 0.2317
K10 0.7480 0.7480 0.5000
C1 0.7737 0.2737 0.4878
C2 0.2737 0.7737 0.5122

---

Density functional theory data (PBEsol) for crystalline Sr2GeRhN at its relaxed geometry.

Results
Its space group is P4/mmm (123). As for the total DFT energy (no corrections): -4.38 eV/atom.

Lattice parameters (Å, degrees): 4.4309 5.8274 5.8274 90.00 90.00 90.00
Site moments in Bohr magnetons follow the coordinates.
Sites, in units of the cell vectors:
Sr1 0.0000 0.0000 0.5000  -0.01
Sr2 0.0000 0.5000 0.0000  -0.01
Ge1 0.0000 0.0000 0.0000  0.04
N1 0.5000 0.5000 0.5000  1.15
Rh1 0.5000 0.0000 0.0000  0.18

---

Density functional theory data (PBEsol) for crystalline As2AuSeO at its relaxed geometry.

Results
Its space group is P4/mmm (123). As for the total DFT energy (no corrections): -3.34 eV/atom.

Lattice parameters (Å, degrees): 4.9258 4.9258 5.0669 90.00 90.00 90.00
Site moments in Bohr magnetons follow the coordinates.
Sites, in units of the cell vectors:
As1 0.5000 0.0000 0.0000  0.03
As2 0.0000 0.5000 0.0000  0.03
Se1 0.0000 0.0000 0.5000  0.21
O1 0.5000 0.5000 0.5000  1.23
Au1 0.0000 0.0000 0.0000  0.02

---

Density functional theory data (PBEsol) for crystalline Cr2NiSb at its relaxed geometry.

Results
Its space group is Pmmm (47). As for the total DFT energy (no corrections): -7.49 eV/atom.

Lattice parameters (Å, degrees): 2.8711 3.7612 5.0785 90.00 90.00 90.00
Sites, in units of the cell vectors:
Cr1 0.0000 0.0000 0.1957
Cr2 0.0000 0.0000 0.8043
Ni1 0.5000 0.5000 0.0000
Sb1 0.5000 0.5000 0.5000

---

Density functional theory data (PBEsol) for crystalline Al2GePd at its relaxed geometry.

Results
Its space group is I-42d (122). The value obtained for the energy of formation is -0.1539 eV per atom.

Lattice parameters (Å, degrees): 4.0359 4.0359 8.8882 103.12 103.12 90.00
Sites, in units of the cell vectors:
Ge1 0.5000 0.5000 0.0000
Ge2 0.7500 0.2500 0.5000
Al1 0.1250 0.1068 0.7500
Al2 0.8932 0.3750 0.2500
Al3 0.3568 0.8750 0.2500
Al4 0.6250 0.6432 0.7500
Pd1 0.2500 0.7500 0.5000
Pd2 0.0000 0.0000 0.0000

---

Density functional theory data (PBEsol) for crystalline Cs3Y7Se12 at its relaxed geometry.

Results
Its space group is Pmn2_1 (31). As for the total DFT energy (no corrections): -6.24 eV/atom.

Lattice parameters (Å, degrees): 4.1109 12.6492 26.0221 90.00 90.00 90.00
Sites, in units of the cell vectors:
Se1 0.5000 0.4970 0.3026
Se2 0.0000 0.3147 0.1798
Se3 0.0000 0.5030 0.8026
Se4 0.5000 0.6904 0.8958
Se5 0.0000 0.9101 0.9818
Se6 0.0000 0.6852 0.2097
Se7 0.0000 0.6050 0.0174
Se8 0.0000 0.9972 0.1987
Se9 0.0000 0.1871 0.6039
Se10 0.0000 0.8124 0.7900
Se11 0.5000 0.3880 0.9211
Se12 0.5000 0.0028 0.6987
Se13 0.0000 0.3096 0.3958
Se14 0.5000 0.8131 0.3217
Se15 0.0000 0.8828 0.5791
Se16 0.5000 0.3148 0.7097
Se17 0.5000 0.0899 0.4818
Se18 0.5000 0.3950 0.5174
Se19 0.5000 0.8129 0.1039
Se20 0.5000 0.1876 0.2900
Se21 0.5000 0.6853 0.6798
Se22 0.5000 0.1172 0.0791
Se23 0.0000 0.6120 0.4211
Se24 0.0000 0.1870 0.8217
Cs1 0.0000 0.2001 0.9757
Cs2 0.5000 0.9695 0.8654
Cs3 0.5000 0.5244 0.1271
Cs4 0.0000 0.0305 0.3654
Cs5 0.0000 0.4756 0.6271
Cs6 0.5000 0.7999 0.4757
Y1 0.5000 0.6645 0.7877
Y2 0.0000 0.3355 0.2877
Y3 0.5000 0.7554 0.9992
Y4 0.0000 0.2446 0.4992
Y5 0.5000 0.0359 0.5865
Y6 0.0000 0.1666 0.7119
Y7 0.0000 0.9641 0.0865
Y8 0.5000 0.1649 0.1838
Y9 0.5000 0.3385 0.8160
Y10 0.5000 0.4596 0.4156
Y11 0.0000 0.5404 0.9156
Y12 0.5000 0.8334 0.2119
Y13 0.0000 0.6615 0.3160
Y14 0.0000 0.8351 0.6838

---

Density functional theory data (PBEsol) for crystalline SrGe2 at its relaxed geometry.

Results
Its space group is P-3m1 (164). The value obtained for the energy of formation is -0.5341 eV per atom.

Lattice parameters (Å, degrees): 4.1073 4.1073 5.0596 90.00 90.00 120.00
Sites, in units of the cell vectors:
Sr1 0.0000 0.0000 0.0000
Ge1 0.6667 0.3333 0.5964
Ge2 0.3333 0.6667 0.4036

---

Density functional theory data (PBEsol) for crystalline Tc3HgPt at its relaxed geometry.

Results
Its space group is Pm-3m (221). The value obtained for the energy of formation is 1.9891 eV per atom.

Lattice parameters (Å, degrees): 4.6897 4.6897 4.6897 90.00 90.00 90.00
Site moments in Bohr magnetons follow the coordinates.
Sites, in units of the cell vectors:
Tc1 0.0000 0.5000 0.0000  0.87
Tc2 0.0000 0.0000 0.5000  0.87
Tc3 0.5000 0.0000 0.0000  0.87
Hg1 0.5000 0.5000 0.5000  0.00
Pt1 0.0000 0.0000 0.0000  -0.03